Record 1
The following is a PBE-GGA calculation of a relaxed Pr2Ni3Sn crystal, from Alexandria via LeMat-Bulk.

The structure in POSCAR format:
```
Pr2Ni3Sn
1.0
5.9657 -0.0102 0.0000
-0.2419 5.9608 0.0000
-2.8619 -2.9753 7.2886
Pr Sn Ni
4 2 6
direct
0.2315 0.2315 0.0000
0.7500 0.2500 0.5000
0.2500 0.7500 0.5000
0.7685 0.7685 0.0000
0.6638 0.6638 0.3275
0.3362 0.3362 0.6725
0.3200 0.8416 0.1616
0.1606 0.1606 0.3212
0.8394 0.8394 0.6788
0.1584 0.6800 0.8384
0.8416 0.3200 0.1616
0.6800 0.1584 0.8384
```

Values from the calculation:
total magnetic moment = 0.0000 μB/atom
formation enthalpy at 0 K = -34 kJ/mol of atoms
SG = No. 69
DFT total energy = -32.996 eV/f.u.

Record 2
The following is a PBE-GGA calculation of a relaxed PrNi6Sn12 crystal, from Alexandria via LeMat-Bulk.

The structure in POSCAR format:
```
PrNi6Sn12
1.0
8.1724 0.0000 0.0000
-2.7241 7.7050 0.0000
-2.7241 -3.8525 6.6728
Pr Ni Sn
1 6 12
direct
0.0000 0.0000 0.0000
0.3673 0.5000 0.8673
0.6327 0.5000 0.1327
0.1327 0.6327 0.5000
0.5000 0.1327 0.6327
0.5000 0.8673 0.3673
0.8673 0.3673 0.5000
0.8256 0.3092 0.1348
0.3092 0.4836 0.1744
0.8256 0.6908 0.5164
0.5164 0.8256 0.6908
0.1744 0.6908 0.8652
0.1744 0.3092 0.4836
0.6908 0.8652 0.1744
0.6908 0.5164 0.8256
0.1348 0.8256 0.3092
0.8652 0.1744 0.6908
0.4836 0.1744 0.3092
0.3092 0.1348 0.8256
```

Values from the calculation:
total magnetic moment = 0.0000 μB/atom
formation enthalpy at 0 K = -7 kJ/mol of atoms
SG = No. 204
DFT total energy = -88.883 eV/f.u.

> What is the formula in the second record?

PrNi6Sn12